a:
This record from the Alexandria database describes an optimized crystal structure of KMn3H. The functional is PBE.

Structure (CIF):
```
data_KMn3H
_symmetry_space_group_name_H-M 'P m -3 m'
_symmetry_Int_Tables_number 221
_symmetry_space_group_name_Hall '-P 4 2 3'
_cell_length_a 5.684
_cell_length_b 5.684
_cell_length_c 5.684
_cell_angle_alpha 90.00
_cell_angle_beta 90.00
_cell_angle_gamma 90.00
loop_
_atom_site_label
_atom_site_type_symbol
_atom_site_fract_x
_atom_site_fract_y
_atom_site_fract_z
_atom_site_occupancy
K1 K 0.000 0.000 0.000 1
Mn1 Mn 0.000 0.000 0.500 1
H1 H 0.500 0.500 0.500 1
```

## Properties
Mass density ... 1.85 g/cm³
DOS(E_F) ... 8.2 states/eV/cell

b:
This record from the Alexandria database describes an optimized crystal structure of KMn3H. The functional is PBE.

Structure (CIF):
```
data_KMn3H
_symmetry_space_group_name_H-M 'P m -3 m'
_symmetry_Int_Tables_number 221
_symmetry_space_group_name_Hall '-P 4 2 3'
_cell_length_a 4.238
_cell_length_b 4.238
_cell_length_c 4.238
_cell_angle_alpha 90.00
_cell_angle_beta 90.00
_cell_angle_gamma 90.00
loop_
_atom_site_label
_atom_site_type_symbol
_atom_site_fract_x
_atom_site_fract_y
_atom_site_fract_z
_atom_site_occupancy
K1 K 0.000 0.000 0.000 1
Mn1 Mn 0.000 0.500 0.500 1
H1 H 0.500 0.500 0.500 1
```

## Properties
Mass density ... 4.47 g/cm³
DOS(E_F) ... 2.9 states/eV/cell

Stability summary - winner: b; margin: 1558 meV/atom.

a:
This record from the Alexandria database describes an optimized crystal structure of KMnH. The functional is PBE.

Structure (CIF):
```
data_KMnH
_symmetry_space_group_name_H-M 'I m m 2'
_symmetry_Int_Tables_number 44
_cell_length_a 3.572
_cell_length_b 6.203
_cell_length_c 11.775
_cell_angle_alpha 90.00
_cell_angle_beta 90.00
_cell_angle_gamma 90.00
loop_
_symmetry_equiv_pos_as_xyz
'x,y,z'
'-x,-y,z'
'-x,y,z'
'x,-y,z'
'x+1/2,y+1/2,z+1/2'
'-x+1/2,-y+1/2,z+1/2'
'-x+1/2,y+1/2,z+1/2'
'x+1/2,-y+1/2,z+1/2'
loop_
_atom_site_label
_atom_site_type_symbol
_atom_site_fract_x
_atom_site_fract_y
_atom_site_fract_z
_atom_site_occupancy
K1 K 0.000 0.000 0.000 1
K2 K 0.000 0.500 0.187 1
Mn1 Mn 0.000 0.000 0.381 1
Mn2 Mn 0.000 0.500 0.752 1
H1 H 0.000 0.306 0.649 1
```

## Properties
Mass density ... 2.42 g/cm³
DOS(E_F) ... 7.9 states/eV/cell

b:
This record from the Alexandria database describes an optimized crystal structure of KMnH. The functional is PBE.

Structure (CIF):
```
data_KMnH
_symmetry_space_group_name_H-M 'C 1 2/m 1'
_symmetry_Int_Tables_number 12
_cell_length_a 10.737
_cell_length_b 3.315
_cell_length_c 6.511
_cell_angle_alpha 90.00
_cell_angle_beta 110.02
_cell_angle_gamma 90.00
loop_
_symmetry_equiv_pos_as_xyz
'x,y,z'
'-x,-y,-z'
'-x,y,-z'
'x,-y,z'
'x+1/2,y+1/2,z'
'-x+1/2,-y+1/2,-z'
'-x+1/2,y+1/2,-z'
'x+1/2,-y+1/2,z'
loop_
_atom_site_label
_atom_site_type_symbol
_atom_site_fract_x
_atom_site_fract_y
_atom_site_fract_z
_atom_site_occupancy
K1 K 0.089 0.000 0.336 1
Mn1 Mn 0.193 0.500 0.949 1
H1 H 0.126 0.500 0.681 1
```

## Properties
Mass density ... 2.90 g/cm³
DOS(E_F) ... 3.7 states/eV/cell

Stability summary - winner: a; margin: 109 meV/atom.

a:
This record from the Alexandria database describes an optimized crystal structure of KMn2H. The functional is PBE.

Structure (CIF):
```
data_KMn2H
_symmetry_space_group_name_H-M 'F m -3 m'
_symmetry_Int_Tables_number 225
_symmetry_space_group_name_Hall '-F 4 2 3'
_cell_length_a 7.108
_cell_length_b 7.108
_cell_length_c 7.108
_cell_angle_alpha 90.00
_cell_angle_beta 90.00
_cell_angle_gamma 90.00
loop_
_atom_site_label
_atom_site_type_symbol
_atom_site_fract_x
_atom_site_fract_y
_atom_site_fract_z
_atom_site_occupancy
K1 K 0.000 0.000 0.000 1
Mn1 Mn 0.250 0.250 0.250 1
H1 H 0.000 0.000 0.500 1
```

## Properties
Mass density ... 2.77 g/cm³
DOS(E_F) ... 16.0 states/eV/cell

b:
This record from the Alexandria database describes an optimized crystal structure of KMn2H. The functional is PBE.

Structure (CIF):
```
data_KMn2H
_symmetry_space_group_name_H-M 'I 41/a m d'
_symmetry_Int_Tables_number 141
_cell_length_a 5.893
_cell_length_b 5.893
_cell_length_c 8.325
_cell_angle_alpha 90.00
_cell_angle_beta 90.00
_cell_angle_gamma 90.00
loop_
_symmetry_equiv_pos_as_xyz
'x,y,z'
'-x,-y,-z'
'-y+1/4,x+3/4,z+1/4'
'y+1/4,-x+3/4,-z+1/4'
'-x+1/2,-y,z+1/2'
'x+1/2,y,-z+1/2'
'y+1/4,-x+1/4,z+3/4'
'-y+1/4,x+1/4,-z+3/4'
'x,-y,-z'
'-x,y,z'
'-y+1/4,-x+1/4,-z+3/4'
'y+1/4,x+1/4,z+3/4'
'-x+1/2,y,-z+1/2'
'x+1/2,-y,z+1/2'
'y+1/4,x+3/4,-z+1/4'
'-y+1/4,-x+3/4,z+1/4'
'x+1/2,y+1/2,z+1/2'
'-x+1/2,-y+1/2,-z+1/2'
'-y+3/4,x+1/4,z+3/4'
'y+3/4,-x+1/4,-z+3/4'
'-x,-y+1/2,z'
'x,y+1/2,-z'
'y+3/4,-x+3/4,z+1/4'
'-y+3/4,x+3/4,-z+1/4'
'x+1/2,-y+1/2,-z+1/2'
'-x+1/2,y+1/2,z+1/2'
'-y+3/4,-x+3/4,-z+1/4'
'y+3/4,x+3/4,z+1/4'
'-x,y+1/2,-z'
'x,-y+1/2,z'
'y+3/4,x+1/4,-z+3/4'
'-y+3/4,-x+1/4,z+3/4'
loop_
_atom_site_label
_atom_site_type_symbol
_atom_site_fract_x
_atom_site_fract_y
_atom_site_fract_z
_atom_site_occupancy
K1 K 0.000 0.250 0.375 1
Mn1 Mn 0.000 0.000 0.000 1
H1 H 0.000 0.250 0.875 1
```

## Properties
Mass density ... 3.45 g/cm³
DOS(E_F) ... 38.5 states/eV/cell

Stability summary - winner: b; margin: 954 meV/atom.

a:
This record from the Alexandria database describes an optimized crystal structure of KMnH2. The functional is PBE.

Structure (CIF):
```
data_KMnH2
_symmetry_space_group_name_H-M 'R -3 m'
_symmetry_Int_Tables_number 166
_symmetry_space_group_name_Hall '-R 3 2"'
_cell_length_a 3.0062
_cell_length_b 3.0062
_cell_length_c 17.5773
_cell_angle_alpha 90.00
_cell_angle_beta 90.00
_cell_angle_gamma 120.00
loop_
_atom_site_label
_atom_site_type_symbol
_atom_site_fract_x
_atom_site_fract_y
_atom_site_fract_z
_atom_site_occupancy
K1 K 0.0000 0.0000 0.0000 1
Mn1 Mn 0.0000 0.0000 0.5000 1
H1 H 0.0000 0.0000 0.2089 1
```

## Properties
Mass density ... 3.48 g/cm³
DOS(E_F) ... 6.1 states/eV/cell

b:
This record from the Alexandria database describes an optimized crystal structure of KMnH2. The functional is PBE.

Structure (CIF):
```
data_KMnH2
_symmetry_space_group_name_H-M 'F m -3 m'
_symmetry_Int_Tables_number 225
_symmetry_space_group_name_Hall '-F 4 2 3'
_cell_length_a 6.281
_cell_length_b 6.281
_cell_length_c 6.281
_cell_angle_alpha 90.00
_cell_angle_beta 90.00
_cell_angle_gamma 90.00
loop_
_atom_site_label
_atom_site_type_symbol
_atom_site_fract_x
_atom_site_fract_y
_atom_site_fract_z
_atom_site_occupancy
K1 K 0.000 0.000 0.000 1
Mn1 Mn 0.000 0.000 0.500 1
H1 H 0.250 0.250 0.250 1
```

## Properties
Mass density ... 2.58 g/cm³
DOS(E_F) ... 10.6 states/eV/cell

c:
This record from the Alexandria database describes an optimized crystal structure of KMnH2. The functional is PBE.

Structure (CIF):
```
data_KMnH2
_symmetry_space_group_name_H-M 'I -4 2 d'
_symmetry_Int_Tables_number 122
_symmetry_space_group_name_Hall 'I -4 2bw'
_cell_length_a 5.601
_cell_length_b 5.601
_cell_length_c 7.846
_cell_angle_alpha 90.00
_cell_angle_beta 90.00
_cell_angle_gamma 90.00
loop_
_atom_site_label
_atom_site_type_symbol
_atom_site_fract_x
_atom_site_fract_y
_atom_site_fract_z
_atom_site_occupancy
K1 K 0.000 0.000 0.000 1
Mn1 Mn 0.000 0.000 0.500 1
H1 H 0.086 0.250 0.625 1
```

## Properties
Mass density ... 2.59 g/cm³
DOS(E_F) ... 6.1 states/eV/cell

Stability summary - winner: c; margin: 165 meV/atom.